Ca2Zn12CdCu3 after structural relaxation, computed with PBE.

Results
energy of formation: 230 meV per atom
magnetization: 0.00 Bohr magnetons per cell
electronic total energy: -1.576 eV/atom
density of states at the Fermi level: 25.7 states/eV/cell

The structure in CIF format:
```
data_Ca2Zn12CdCu3
_chemical_formula_sum 'Ca6 Zn36 Cd3 Cu9'
_space_group_name_H-M_alt 'R -3 m'
_space_group_IT_number 166
_space_group_name_Hall '-R 3 2"'
_cell_length_a 8.4219
_cell_length_b 8.4219
_cell_length_c 19.4570
_cell_angle_alpha 90.00
_cell_angle_beta 90.00
_cell_angle_gamma 120.00
loop_
_atom_site_label
_atom_site_fract_x
_atom_site_fract_y
_atom_site_fract_z
Ca1 0.0000 0.0000 0.0990
Zn1 0.0194 0.5097 0.3431
Zn2 0.0304 0.5152 0.8763
Cd1 0.0000 0.0000 0.5000
Cu1 0.0000 0.5000 0.0000
```